[1]
## MgZn2 (PBE-GGA)

Data for a relaxed MgZn2 crystal.

Properties
The total energy comes out at -1.407 eV/atom.

Lattice parameters (Å, degrees): 14.3744 2.9831 4.6316 90.00 90.00 90.00
Closest atoms and distances in Å follow each position.
Atoms (fractional coordinates):
Mg1 0.3306 0.0000 0.0000  10 Zn 2.81-2.88, 2 Mg 2.98
Mg2 0.8306 0.5000 0.0000  10 Zn 2.81-2.88, 2 Mg 2.98
Mg3 0.1139 0.0000 0.5000  10 Zn 2.81-2.88, 2 Mg 2.98
Mg4 0.6139 0.5000 0.5000  10 Zn 2.81-2.88, 2 Mg 2.98
Zn1 0.0018 0.0000 0.0000  8 Zn 2.78-2.98, 4 Mg 2.82-2.88
Zn2 0.6646 0.0000 0.0000  6 Zn 2.78-2.98, 6 Mg 2.81-2.85
Zn3 0.1646 0.5000 0.0000  6 Zn 2.78-2.98, 6 Mg 2.81-2.85
Zn4 0.5018 0.5000 0.0000  8 Zn 2.78-2.98, 4 Mg 2.82-2.88
Zn5 0.4427 0.0000 0.5000  8 Zn 2.78-2.98, 4 Mg 2.82-2.88
Zn6 0.7798 0.0000 0.5000  6 Zn 2.78-2.98, 6 Mg 2.81-2.85
Zn7 0.2798 0.5000 0.5000  6 Zn 2.78-2.98, 6 Mg 2.81-2.85
Zn8 0.9427 0.5000 0.5000  8 Zn 2.78-2.98, 4 Mg 2.82-2.88

---

[2]
## MgZn (PBE-GGA)

Data for a relaxed MgZn crystal.

Properties
The total energy comes out at -1.435 eV/atom.

Lattice parameters (Å, degrees): 5.0975 8.8345 4.7374 90.00 90.00 90.00
Closest atoms and distances in Å follow each position.
Atoms (fractional coordinates):
Mg1 0.9837 0.3167 0.0000  7 Zn 2.79-2.94, 4 Mg 2.91-3.06
Mg2 0.5140 0.5042 0.0000  5 Zn 2.89-3.00, 7 Mg 2.91-3.17
Mg3 0.0140 0.6624 0.0000  5 Zn 2.89-3.00, 7 Mg 2.91-3.17
Mg4 0.4838 0.8500 0.0000  7 Zn 2.79-2.94, 4 Mg 2.91-3.06
Mg5 0.3440 0.3302 0.5000  8 Zn 2.84-3.08, 4 Mg 2.95-3.00
Mg6 0.8440 0.8364 0.5000  8 Zn 2.84-3.08, 4 Mg 2.95-3.00
Zn1 0.9893 0.0013 0.0000  6 Mg 2.79-3.00, 6 Zn 2.89-2.93
Zn2 0.4893 0.1654 0.0000  6 Mg 2.79-3.00, 6 Zn 2.89-2.93
Zn3 0.3165 0.0068 0.5000  5 Mg 2.84-3.08, 7 Zn 2.89-3.00
Zn4 0.8165 0.1598 0.5000  5 Mg 2.84-3.08, 7 Zn 2.89-3.00
Zn5 0.8525 0.4991 0.5000  9 Mg 2.89-2.99, 3 Zn 2.95-3.00
Zn6 0.3525 0.6675 0.5000  9 Mg 2.89-2.99, 3 Zn 2.95-3.00

---

[3]
## MgZn (PBE-GGA)

Data for a relaxed MgZn crystal.

Properties
The total energy comes out at -1.420 eV/atom.

Lattice parameters (Å, degrees): 7.6607 5.9743 4.8228 90.00 90.00 100.76
Closest atoms and distances in Å follow each position.
Atoms (fractional coordinates):
Mg1 0.0024 0.0031 0.0000  3 Zn 2.93-3.01, 9 Mg 2.97-3.07
Mg2 0.0237 0.5044 0.0000  4 Zn 2.82-2.90, 6 Mg 2.97-3.07
Mg3 0.6502 0.6580 0.0000  8 Zn 2.79-3.01, 3 Mg 3.00-3.07
Mg4 0.2386 0.0643 0.5000  8 Zn 2.79-3.01, 3 Mg 3.00-3.07
Mg5 0.8652 0.2178 0.5000  4 Zn 2.82-2.90, 6 Mg 2.97-3.07
Mg6 0.8865 0.7191 0.5000  3 Zn 2.92-3.01, 9 Mg 2.97-3.07
Zn1 0.6517 0.1616 0.0000  6 Zn 2.75-2.96, 5 Mg 2.90-3.01
Zn2 0.3398 0.3278 0.0000  7 Zn 2.75-3.07, 5 Mg 2.79-2.93
Zn3 0.3405 0.8426 0.0000  7 Zn 2.76-3.07, 5 Mg 2.80-2.93
Zn4 0.5491 0.3943 0.5000  7 Zn 2.75-3.07, 5 Mg 2.79-2.93
Zn5 0.2370 0.5607 0.5000  6 Zn 2.75-2.96, 5 Mg 2.90-3.01
Zn6 0.5484 0.8796 0.5000  7 Zn 2.76-3.07, 5 Mg 2.80-2.93

---

[4]
## MgZn (PBE-GGA)

Data for a relaxed MgZn crystal.

Properties
The total energy comes out at -1.435 eV/atom.

Lattice parameters (Å, degrees): 5.0967 8.8356 4.7382 90.00 90.00 90.00
Closest atoms and distances in Å follow each position.
Atoms (fractional coordinates):
Mg1 0.4893 0.1635 0.0000  8 Zn 2.84-3.08, 4 Mg 2.95-3.00
Mg2 0.9893 0.6698 0.0000  8 Zn 2.84-3.08, 4 Mg 2.95-3.00
Mg3 0.8497 0.1500 0.5000  7 Zn 2.79-2.94, 4 Mg 2.91-3.06
Mg4 0.3195 0.3375 0.5000  5 Zn 2.89-3.00, 7 Mg 2.91-3.17
Mg5 0.8195 0.4958 0.5000  5 Zn 2.89-3.00, 7 Mg 2.91-3.17
Mg6 0.3497 0.6833 0.5000  7 Zn 2.79-2.94, 4 Mg 2.91-3.06
Zn1 0.9807 0.3325 0.0000  9 Mg 2.89-2.99, 3 Zn 2.95-3.00
Zn2 0.4806 0.5008 0.0000  9 Mg 2.89-2.99, 3 Zn 2.95-3.00
Zn3 0.5165 0.8402 0.0000  5 Mg 2.84-3.08, 7 Zn 2.88-3.00
Zn4 0.0165 0.9932 0.0000  5 Mg 2.84-3.08, 7 Zn 2.88-3.00
Zn5 0.8443 0.8346 0.5000  6 Mg 2.79-3.00, 6 Zn 2.89-2.93
Zn6 0.3443 0.9987 0.5000  6 Mg 2.79-3.00, 6 Zn 2.89-2.93

---

[5]
## MgZn2 (PBE-GGA)

Data for a relaxed MgZn2 crystal.

Properties
The total energy comes out at -1.412 eV/atom.

Lattice parameters (Å, degrees): 4.8647 8.6781 4.6930 90.00 90.00 90.00
Closest atoms and distances in Å follow each position.
Atoms (fractional coordinates):
Mg1 0.9749 0.0000 0.0000  10 Zn 2.78-2.95, 2 Mg 3.00
Mg2 0.4749 0.5000 0.0000  10 Zn 2.78-2.95, 2 Mg 3.00
Mg3 0.3584 0.0000 0.5000  10 Zn 2.78-2.95, 2 Mg 3.00
Mg4 0.8584 0.5000 0.5000  10 Zn 2.78-2.95, 2 Mg 3.00
Zn1 0.4961 0.1743 0.0000  7 Zn 2.76-3.03, 5 Mg 2.78-2.95
Zn2 0.9961 0.3257 0.0000  7 Zn 2.76-3.03, 5 Mg 2.78-2.95
Zn3 0.9961 0.6743 0.0000  7 Zn 2.76-3.03, 5 Mg 2.78-2.95
Zn4 0.4961 0.8257 0.0000  7 Zn 2.76-3.03, 5 Mg 2.78-2.95
Zn5 0.8372 0.1743 0.5000  7 Zn 2.76-3.03, 5 Mg 2.78-2.95
Zn6 0.3372 0.3257 0.5000  7 Zn 2.76-3.03, 5 Mg 2.78-2.95
Zn7 0.3372 0.6743 0.5000  7 Zn 2.76-3.03, 5 Mg 2.78-2.95
Zn8 0.8372 0.8257 0.5000  7 Zn 2.76-3.03, 5 Mg 2.78-2.95

---

[6]
## MgZn2 (PBE-GGA)

Data for a relaxed MgZn2 crystal.

Properties
The total energy comes out at -1.401 eV/atom.

Lattice parameters (Å, degrees): 14.4938 3.0156 4.5553 90.00 90.00 90.00
Closest atoms and distances in Å follow each position.
Atoms (fractional coordinates):
Mg1 0.6591 0.0000 0.0000  8 Zn 2.83-3.00, 4 Mg 2.92-3.02
Mg2 0.1591 0.5000 0.0000  8 Zn 2.83-3.00, 4 Mg 2.92-3.02
Mg3 0.7853 0.0000 0.5000  8 Zn 2.83-3.00, 4 Mg 2.92-3.02
Mg4 0.2853 0.5000 0.5000  8 Zn 2.83-3.00, 4 Mg 2.92-3.02
Zn1 0.3380 0.0000 0.0000  6 Zn 2.71-3.02, 6 Mg 2.84-3.00
Zn2 0.9937 0.0000 0.0000  10 Zn 2.71-3.02, 2 Mg 2.83
Zn3 0.4937 0.5000 0.0000  10 Zn 2.71-3.02, 2 Mg 2.83
Zn4 0.8380 0.5000 0.0000  6 Zn 2.71-3.02, 6 Mg 2.84-3.00
Zn5 0.1064 0.0000 0.5000  6 Zn 2.71-3.02, 6 Mg 2.84-3.00
Zn6 0.4507 0.0000 0.5000  10 Zn 2.71-3.02, 2 Mg 2.83
Zn7 0.6064 0.5000 0.5000  6 Zn 2.71-3.02, 6 Mg 2.84-3.00
Zn8 0.9507 0.5000 0.5000  10 Zn 2.71-3.02, 2 Mg 2.83

---

[7]
## MgZn (PBE-GGA)

Data for a relaxed MgZn crystal.

Properties
The total energy comes out at -1.430 eV/atom.

Lattice parameters (Å, degrees): 4.9947 5.9263 4.8820 90.00 90.00 90.00
Closest atoms and distances in Å follow each position.
Atoms (fractional coordinates):
Mg1 0.4786 0.2714 0.0000  6 Zn 2.78-3.11, 6 Mg 3.04-3.08
Mg2 0.9786 0.9786 0.0000  6 Zn 2.78-3.11, 6 Mg 3.04-3.08
Mg3 0.8547 0.2714 0.5000  6 Zn 2.78-3.11, 6 Mg 3.04-3.08
Mg4 0.3547 0.9786 0.5000  6 Zn 2.78-3.11, 6 Mg 3.04-3.08
Zn1 0.9936 0.5025 0.0000  6 Mg 2.78-3.11, 6 Zn 2.89-2.99
Zn2 0.4936 0.7475 0.0000  6 Mg 2.78-3.11, 6 Zn 2.89-2.99
Zn3 0.3397 0.5025 0.5000  6 Mg 2.78-3.11, 6 Zn 2.89-2.99
Zn4 0.8397 0.7475 0.5000  6 Mg 2.78-3.11, 6 Zn 2.89-2.99

---

[8]
## MgZn (PBE-GGA)

Data for a relaxed MgZn crystal.

Properties
The total energy comes out at -1.414 eV/atom.

Lattice parameters (Å, degrees): 5.0230 6.0687 4.7305 90.00 90.00 90.00
Closest atoms and distances in Å follow each position.
Atoms (fractional coordinates):
Mg1 0.4994 0.2351 0.0000  5 Mg 2.85-3.05, 6 Zn 2.87-2.92
Mg2 0.9839 0.5000 0.0000  6 Mg 2.92-3.05, 6 Zn 2.95-3.04
Mg3 0.4994 0.7649 0.0000  5 Mg 2.85-3.05, 6 Zn 2.87-2.92
Mg4 0.3503 0.5000 0.5000  6 Zn 2.93-3.04, 6 Mg 2.96-3.00
Zn1 0.0043 0.0000 0.0000  6 Zn 2.84-2.89, 6 Mg 2.87-3.04
Zn2 0.3179 0.0000 0.5000  6 Zn 2.80-2.99, 6 Mg 2.91-3.04
Zn3 0.8391 0.2368 0.5000  5 Zn 2.80-2.99, 6 Mg 2.92-3.02
Zn4 0.8391 0.7632 0.5000  5 Zn 2.80-2.99, 6 Mg 2.92-3.02

---

[9]
## MgZn (PBE-GGA)

Data for a relaxed MgZn crystal.

Properties
The total energy comes out at -1.419 eV/atom.

Lattice parameters (Å, degrees): 7.6615 5.9737 4.8189 90.00 90.00 100.95
Closest atoms and distances in Å follow each position.
Atoms (fractional coordinates):
Mg1 0.6917 0.1715 0.0000  6 Zn 2.77-3.00, 4 Mg 3.00
Mg2 0.3216 0.3261 0.0000  5 Zn 2.87-3.05, 7 Mg 2.95-3.14
Mg3 0.3255 0.8332 0.0000  5 Zn 2.83-3.01, 7 Mg 2.95-3.13
Mg4 0.5672 0.3960 0.5000  5 Zn 2.87-3.05, 7 Mg 2.95-3.14
Mg5 0.1971 0.5507 0.5000  6 Zn 2.77-3.00, 4 Mg 3.00
Mg6 0.5634 0.8889 0.5000  5 Zn 2.83-3.01, 7 Mg 2.95-3.13
Zn1 0.9939 0.5095 0.0000  5 Mg 2.77-2.92, 6 Zn 2.80-3.00
Zn2 0.6729 0.6678 0.0000  4 Zn 2.80-2.91, 8 Mg 2.93-3.05
Zn3 0.9998 0.9906 0.0000  3 Mg 2.78-2.87, 9 Zn 2.86-3.11
Zn4 0.2161 0.0545 0.5000  4 Zn 2.80-2.91, 8 Mg 2.93-3.05
Zn5 0.8950 0.2129 0.5000  5 Mg 2.77-2.92, 6 Zn 2.80-3.00
Zn6 0.8890 0.7317 0.5000  3 Mg 2.78-2.87, 9 Zn 2.86-3.11

---

[10]
## MgZn (PBE-GGA)

Data for a relaxed MgZn crystal.

Properties
The total energy comes out at -1.439 eV/atom.

Lattice parameters (Å, degrees): 10.2589 5.8953 4.7273 90.00 90.00 90.00
Closest atoms and distances in Å follow each position.
Atoms (fractional coordinates):
Mg1 0.5280 0.0000 0.0000  6 Zn 2.78-2.96, 4 Mg 3.01
Mg2 0.9909 0.0000 0.0000  10 Zn 2.84-2.95, 2 Mg 3.01
Mg3 0.2470 0.2479 0.0000  4 Zn 2.91-3.12, 8 Mg 2.92-3.23
Mg4 0.2470 0.7521 0.0000  4 Zn 2.91-3.12, 8 Mg 2.92-3.23
Mg5 0.4197 0.2521 0.5000  4 Zn 2.91-3.12, 8 Mg 2.92-3.23
Mg6 0.1386 0.5000 0.5000  6 Zn 2.78-2.96, 4 Mg 3.01
Mg7 0.6758 0.5000 0.5000  10 Zn 2.84-2.95, 2 Mg 3.01
Mg8 0.4197 0.7479 0.5000  4 Zn 2.91-3.12, 8 Mg 2.92-3.23
Zn1 0.7556 0.2550 0.0000  8 Zn 2.72-3.01, 4 Mg 2.78-2.89
Zn2 0.5040 0.5000 0.0000  10 Mg 2.91-3.03, 2 Zn 2.96
Zn3 0.9801 0.5000 0.0000  6 Zn 2.72-2.89, 4 Mg 2.87-2.95
Zn4 0.7556 0.7450 0.0000  8 Zn 2.72-3.01, 4 Mg 2.78-2.89
Zn5 0.1627 0.0000 0.5000  10 Mg 2.91-3.03, 2 Zn 2.96
Zn6 0.6866 0.0000 0.5000  6 Zn 2.72-2.89, 4 Mg 2.87-2.95
Zn7 0.9111 0.2450 0.5000  8 Zn 2.72-3.01, 4 Mg 2.78-2.89
Zn8 0.9111 0.7550 0.5000  8 Zn 2.72-3.01, 4 Mg 2.78-2.89

---

[11]
## Mg3Zn (PBE-GGA)

Data for a relaxed Mg3Zn crystal.

Properties
The total energy comes out at -1.530 eV/atom.

Lattice parameters (Å, degrees): 5.7411 5.7411 9.0735 90.00 90.00 147.16
Closest atoms and distances in Å follow each position.
Atoms (fractional coordinates):
Mg1 0.8649 0.1351 0.0326  3 Zn 2.82-2.89, 3 Mg 3.03-3.06
Mg2 0.5372 0.4628 0.2500  3 Zn 2.90-3.10, 10 Mg 3.18-3.25
Mg3 0.8649 0.1351 0.4674  3 Zn 2.82-2.89, 3 Mg 3.03-3.06
Mg4 0.1351 0.8649 0.5326  3 Zn 2.82-2.89, 3 Mg 3.03-3.06
Mg5 0.4628 0.5372 0.7500  3 Zn 2.90-3.10, 10 Mg 3.18-3.25
Mg6 0.1351 0.8649 0.9674  3 Zn 2.82-2.89, 3 Mg 3.03-3.06
Zn1 0.2557 0.7443 0.2500  9 Mg 2.82-3.10
Zn2 0.7443 0.2557 0.7500  9 Mg 2.82-3.10

---

[12]
## MgZn (PBE-GGA)

Data for a relaxed MgZn crystal.

Properties
The total energy comes out at -1.430 eV/atom.

Lattice parameters (Å, degrees): 4.9966 5.9249 4.8819 90.00 90.00 90.00
Closest atoms and distances in Å follow each position.
Atoms (fractional coordinates):
Mg1 0.9787 0.4786 0.0000  6 Zn 2.78-3.11, 6 Mg 3.04-3.08
Mg2 0.4787 0.7714 0.0000  6 Zn 2.78-3.11, 6 Mg 3.04-3.08
Mg3 0.3546 0.4786 0.5000  6 Zn 2.78-3.11, 6 Mg 3.04-3.08
Mg4 0.8546 0.7714 0.5000  6 Zn 2.78-3.11, 6 Mg 3.04-3.08
Zn1 0.9937 0.0025 0.0000  6 Mg 2.78-3.11, 6 Zn 2.89-2.99
Zn2 0.4937 0.2475 0.0000  6 Mg 2.78-3.11, 6 Zn 2.89-2.99
Zn3 0.3397 0.0025 0.5000  6 Mg 2.78-3.11, 6 Zn 2.89-2.99
Zn4 0.8397 0.2475 0.5000  6 Mg 2.78-3.11, 6 Zn 2.89-2.99